This record from Alexandria via LeMat-Bulk describes a relaxed SrFeClO2 crystal. The functional is GGA+U.

Output
Raw total energy, eV per atom: -5.72
Fermi-level density of states, states/eV/atom: 0.024
Magnetic moment, μB per formula unit: 5.003
Calculated density, g cm⁻³: 3.861

```
SrFeClO2
1.0
3.929 0.000 0.000
0.000 3.929 0.000
0.000 0.000 5.876
Sr Fe Cl O
1 1 1 2
Direct
0.000 0.000 0.000
0.500 0.500 0.319
0.500 0.500 0.735
0.000 0.500 0.242
0.500 0.000 0.242
```